Entry from the Open Quantum Materials Database: crystalline CdSbO3 at its relaxed geometry (PBE).

Geometry as POSCAR:
```
CdSbO3
1.0
4.055 0.000 0.000
0.000 4.055 0.000
0.000 0.000 4.148
Cd Sb O
1 1 3
Cartesian
0.000 0.000 0.000
2.028 2.028 2.422
0.000 2.028 2.661
2.028 0.000 2.661
2.028 2.028 0.435
```

Results
- Volume: 68.2 Å³/cell
- Space group: P4mm, No. 99
- E_tot: -24.71 eV/cell
- Density: 6.869 g cm⁻³

---

Entry from the Open Quantum Materials Database: crystalline Fe3Re3Pd2 at its relaxed geometry (PBE).

Geometry as POSCAR:
```
Fe3Re3Pd2
1.0
5.356 0.000 0.000
0.000 4.255 0.000
-2.640 0.000 4.703
Fe Re Pd
3 3 2
Cartesian
0.000 0.000 0.000
-1.400 2.128 3.928
1.250 0.000 2.194
0.023 2.128 1.427
-0.158 0.000 4.673
2.542 2.128 1.487
1.301 2.128 3.829
3.954 0.000 2.322
```

Results
- Volume: 107.2 Å³/cell
- Relative energy among the computed polymorphs: 0 meV/atom
- E_form: 0.68 eV per formula unit
- Space group: Pm, No. 6
- E_tot: -71.87 eV/cell
- Magnetic moment: 3.335 μB/f.u.
- Density: 14.547 g cm⁻³

---

Entry from the Open Quantum Materials Database: crystalline PrPuNp at its relaxed geometry (PBE).

Geometry as POSCAR:
```
PrPuNp
1.0
0.000 3.565 3.565
3.565 0.000 3.565
3.565 3.565 0.000
Pr Pu Np
1 1 1
Cartesian
0.000 0.000 0.000
5.348 5.348 5.348
3.565 3.565 3.565
```

Results
- Volume: 90.6 Å³/cell
- Relative energy among the computed polymorphs: 0 meV/atom
- E_form: 2.77 eV per formula unit
- Space group: F-43m, No. 216
- E_tot: -28.91 eV/cell
- Magnetic moment: 10.400 μB/f.u.
- Density: 11.394 g cm⁻³

---

Entry from the Open Quantum Materials Database: crystalline Ga2SiMo2 at its relaxed geometry (PBE).

Geometry as POSCAR:
```
Ga2SiMo2
1.0
-1.735 1.735 6.452
1.735 -1.735 6.452
1.735 1.735 -6.452
Ga Si Mo
2 1 2
Cartesian
1.735 0.000 3.226
0.000 1.735 3.226
0.000 0.000 0.000
0.000 0.000 5.245
0.000 0.000 7.660
```

Results
- Volume: 77.7 Å³/cell
- Relative energy among the computed polymorphs: 0 meV/atom
- Space group: I4/mmm, No. 139
- E_tot: -32.15 eV/cell
- Magnetic moment: 0.001 μB/f.u.
- Density: 7.686 g cm⁻³